# RbVAg2O4, optimized geometry, DFT PBE+U
data_RbVAg2O4
_chemical_formula_sum 'Rb1 V1 Ag2 O4'
_cell_length_a 5.676
_cell_length_b 5.676
_cell_length_c 5.676
_cell_angle_alpha 117.14
_cell_angle_beta 117.14
_cell_angle_gamma 95.03
_space_group_name_H-M_alt 'P 1'
_space_group_IT_number 1
loop_
_space_group_symop_operation_xyz
'x,y,z'
loop_
_atom_site_label
_atom_site_type_symbol
_atom_site_fract_x
_atom_site_fract_y
_atom_site_fract_z
Rb1 Rb 0.000 0.000 0.000
V1 V 0.500 0.500 0.000
Ag1 Ag 0.250 0.750 0.500
Ag2 Ag 0.750 0.250 0.500
O1 O 0.195 0.537 0.000
O2 O 0.463 0.463 0.658
O3 O 0.537 0.195 0.000
O4 O 0.805 0.805 0.342
# * magnetic moment: 0.000 μB per atom
# * crystal system: tetragonal
# * VASP energy: -5.4817 eV/atom